Arrangement one

Material: LaPr5Sm3
Method: DFT, PBE
State: relaxed

The value obtained for the density of states at the Fermi level is 1.5868 states/eV/atom. As for the size of the total moment: 0.00 μB per formula unit.

The space group is C2/m (No. 12) and the conventional cell measures 11.6409, 11.5944 and 11.9837 Å, with angles of 90.00, 116.67 and 90.00 degrees. Symmetry generates all atoms from La at (0.0888, 0.0000, 0.2950), Pr at (0.0000, 0.2580, 0.5000), Pr at (0.0317, 0.5000, 0.8828), Pr at (0.1920, 0.5000, 0.4039), Pr at (0.2024, 0.2355, 0.1428), Sm at (0.0000, 0.0000, 0.0000), Sm at (0.0000, 0.0000, 0.5000), Sm at (0.1210, 0.5000, 0.6567) and Sm at (0.2076, 0.0000, 0.8454).



Arrangement two

Material: LaPr5Sm3
Method: DFT, PBE
State: relaxed

The value obtained for the density of states at the Fermi level is 1.5423 states/eV/atom. As for the size of the total moment: 0.00 μB per formula unit.

The space group is C2/c (No. 15) and the conventional cell measures 18.9964, 6.6150 and 11.5064 Å, with angles of 90.00, 113.39 and 90.00 degrees. Symmetry generates all atoms from La at (0.0000, 0.1357, 0.2500), Pr at (0.0000, 0.4033, 0.7500), Pr at (0.1691, 0.1789, 0.8662), Pr at (0.1687, 0.3031, 0.2104), Sm at (0.0000, 0.0000, 0.0000) and Sm at (0.1612, 0.3009, 0.5148).



Most stable structure - arrangement two; separation to the second - 0.264 eV/atom.



Arrangement one

Material: La4PrSm
Method: DFT, PBE
State: relaxed

The value obtained for the density of states at the Fermi level is 1.6659 states/eV/atom. As for the size of the total moment: 0.00 μB per formula unit.

The space group is C2/m (No. 12) and the conventional cell measures 6.6789, 17.9232 and 3.6159 Å, with angles of 90.00, 90.35 and 90.00 degrees. Symmetry generates all atoms from La at (0.2487, 0.1641, 0.2957), Pr at (0.0000, 0.5000, 0.0000) and Sm at (0.0000, 0.0000, 0.0000).



Arrangement two

Material: La4PrSm
Method: DFT, PBE
State: relaxed

The value obtained for the density of states at the Fermi level is 1.9897 states/eV/atom. As for the size of the total moment: 0.00 μB per formula unit.

The space group is Pmmm (No. 47) and the conventional cell measures 3.7025, 5.2695 and 11.1231 Å, with angles of 90.00, 90.00 and 90.00 degrees. Symmetry generates all atoms from La at (0.0000, 0.0000, 0.1673), La at (0.5000, 0.5000, 0.3292), Pr at (0.0000, 0.0000, 0.5000) and Sm at (0.5000, 0.5000, 0.0000).



Most stable structure - arrangement two; separation to the second - 0.122 eV/atom.



Arrangement one

Material: La12PrSm7
Method: DFT, PBE
State: relaxed

The value obtained for the density of states at the Fermi level is 1.2723 states/eV/atom. As for the size of the total moment: 0.00 μB per formula unit.

The space group is R-3m (No. 166, hexagonal axes) and the conventional cell measures 19.7568, 19.7568 and 6.4259 Å, with angles of 90.00, 90.00 and 120.00 degrees. Symmetry generates all atoms from La at (0.0000, 0.4076, 0.0000), La at (0.0956, 0.5478, 0.4782), Pr at (0.0000, 0.0000, 0.5000), Sm at (0.0000, 0.0000, 0.0000) and Sm at (0.0841, 0.1683, 0.2979).



Arrangement two

Material: La12PrSm7
Method: DFT, PBE
State: relaxed

The value obtained for the density of states at the Fermi level is 1.9047 states/eV/atom. As for the size of the total moment: 0.00 μB per formula unit.

The space group is R-3 (No. 148, hexagonal axes) and the conventional cell measures 12.6373, 12.6373 and 15.5271 Å, with angles of 90.00, 90.00 and 120.00 degrees. Symmetry generates all atoms from La at (0.0125, 0.5791, 0.2170), La at (0.0622, 0.4668, 0.5816), Pr at (0.0000, 0.0000, 0.5000), Sm at (0.0000, 0.0000, 0.0000) and Sm at (0.0487, 0.8652, 0.3045).



Most stable structure - arrangement two; separation to the second - 0.010 eV/atom.



Arrangement one

Material: La4Pr3Sm2
Method: DFT, PBE
State: relaxed

The value obtained for the density of states at the Fermi level is 1.8235 states/eV/atom. As for the size of the total moment: 0.00 μB per formula unit.

The space group is P-1 (No. 2) and the conventional cell measures 6.4070, 6.4182 and 9.7991 Å, with angles of 71.18, 71.21 and 60.15 degrees. Symmetry generates all atoms from La at (0.1643, 0.1681, 0.0005), La at (0.2769, 0.6109, 0.6656), Pr at (0.3895, 0.0559, 0.3337), Pr at (0.5000, 0.5000, 0.0000) and Sm at (0.0549, 0.7213, 0.3347).



Arrangement two

Material: La4Pr3Sm2
Method: DFT, PBE
State: relaxed

The value obtained for the density of states at the Fermi level is 1.9000 states/eV/atom. As for the size of the total moment: 0.00 μB per formula unit.

The space group is P3m1 (No. 156) and the conventional cell measures 3.6890, 3.6890 and 27.7870 Å, with angles of 90.00, 90.00 and 120.00 degrees. Symmetry generates all atoms from La at (0.0000, 0.0000, 0.0000), La at (0.0000, 0.0000, 0.2208), La at (0.3333, 0.6667, 0.3324), La at (0.3333, 0.6667, 0.5552), Pr at (0.0000, 0.0000, 0.4428), Pr at (0.3333, 0.6667, 0.1082), Pr at (0.3333, 0.6667, 0.7725), Sm at (0.0000, 0.0000, 0.6625) and Sm at (0.0000, 0.0000, 0.8764).



Most stable structure - arrangement one; separation to the second - 0.048 eV/atom.



Arrangement one

Material: La2PrSm2
Method: DFT, PBE
State: relaxed

The value obtained for the density of states at the Fermi level is 1.3361 states/eV/atom. As for the size of the total moment: 0.00 μB per formula unit.

The space group is C2/c (No. 15) and the conventional cell measures 9.7717, 8.3568 and 9.5192 Å, with angles of 90.00, 113.77 and 90.00 degrees. Symmetry generates all atoms from La at (0.1128, 0.1697, 0.1489), Pr at (0.0000, 0.2190, 0.7500) and Sm at (0.1671, 0.4401, 0.4758).



Arrangement two

Material: La2PrSm2
Method: DFT, PBE
State: relaxed

The value obtained for the density of states at the Fermi level is 1.7769 states/eV/atom. As for the size of the total moment: 0.00 μB per formula unit.

The space group is P6_3/mmc (No. 194) and the conventional cell measures 5.8346, 5.8346 and 12.3394 Å, with angles of 90.00, 90.00 and 120.00 degrees. Symmetry generates all atoms from La at (0.3333, 0.6667, 0.1041), Pr at (0.0000, 0.0000, 0.2500), Sm at (0.0000, 0.0000, 0.0000) and Sm at (0.3333, 0.6667, 0.7500).



Most stable structure - arrangement one; separation to the second - 0.087 eV/atom.



Arrangement one

Material: LaPrSm3
Method: DFT, PBE
State: relaxed

The value obtained for the density of states at the Fermi level is 1.5943 states/eV/atom. As for the size of the total moment: 0.00 μB per formula unit.

The space group is Imma (No. 74) and the conventional cell measures 5.6315, 7.1854 and 17.2927 Å, with angles of 90.00, 90.00 and 90.00 degrees. Symmetry generates all atoms from La at (0.0000, 0.0000, 0.0000), Pr at (0.0000, 0.2500, 0.3917), Sm at (0.0000, 0.0014, 0.8003) and Sm at (0.0000, 0.2500, 0.6095).



Arrangement two

Material: LaPrSm3
Method: DFT, PBE
State: relaxed

The value obtained for the density of states at the Fermi level is 1.4785 states/eV/atom. As for the size of the total moment: 0.00 μB per formula unit.

The space group is Pnma (No. 62) and the conventional cell measures 10.3697, 3.6777 and 18.3360 Å, with angles of 90.00, 90.00 and 90.00 degrees. Symmetry generates all atoms from La at (0.1251, 0.2500, 0.0499), Pr at (0.1224, 0.2500, 0.6507), Sm at (0.1244, 0.2500, 0.4492), Sm at (0.1256, 0.2500, 0.2502) and Sm at (0.1264, 0.2500, 0.8494).



Most stable structure - arrangement two; separation to the second - 0.024 eV/atom.



Arrangement one

Material: La2Pr2Sm3
Method: DFT, PBE
State: relaxed

The value obtained for the density of states at the Fermi level is 1.7967 states/eV/atom. As for the size of the total moment: 0.00 μB per formula unit.

The space group is C2/m (No. 12) and the conventional cell measures 11.6972, 5.2148 and 8.2237 Å, with angles of 90.00, 97.64 and 90.00 degrees. Symmetry generates all atoms from La at (0.0707, 0.0000, 0.2135), Pr at (0.2137, 0.0000, 0.6437), Sm at (0.0000, 0.5000, 0.5000) and Sm at (0.1434, 0.5000, 0.9295).



Arrangement two

Material: La2Pr2Sm3
Method: DFT, PBE
State: relaxed

The value obtained for the density of states at the Fermi level is 1.5143 states/eV/atom. As for the size of the total moment: 0.00 μB per formula unit.

The space group is C2/m (No. 12) and the conventional cell measures 17.9878, 3.5763 and 8.8791 Å, with angles of 90.00, 118.81 and 90.00 degrees. Symmetry generates all atoms from La at (0.1485, 0.0000, 0.3387), Pr at (0.0660, 0.5000, 0.9085), Sm at (0.0000, 0.0000, 0.5000) and Sm at (0.2131, 0.0000, 0.8041).



Most stable structure - arrangement one; separation to the second - 0.079 eV/atom.



Arrangement one

Material: La2Pr7Sm2
Method: DFT, PBE
State: relaxed

The value obtained for the density of states at the Fermi level is 1.3520 states/eV/atom. As for the size of the total moment: 0.00 μB per formula unit.

The space group is C2/m (No. 12) and the conventional cell measures 17.7467, 12.0861 and 3.7498 Å, with angles of 90.00, 97.22 and 90.00 degrees. Symmetry generates all atoms from La at (0.2047, 0.0000, 0.1679), Pr at (0.0000, 0.0000, 0.5000), Pr at (0.0988, 0.5000, 0.2548), Pr at (0.1653, 0.2512, 0.6847) and Sm at (0.0000, 0.2515, 0.0000).



Arrangement two

Material: La2Pr7Sm2
Method: DFT, PBE
State: relaxed

The value obtained for the density of states at the Fermi level is 1.4581 states/eV/atom. As for the size of the total moment: 0.00 μB per formula unit.

The space group is C2/m (No. 12) and the conventional cell measures 11.7687, 11.7732 and 6.2530 Å, with angles of 90.00, 112.34 and 90.00 degrees. Symmetry generates all atoms from La at (0.0000, 0.2176, 0.0000), Pr at (0.0000, 0.0000, 0.5000), Pr at (0.1782, 0.2306, 0.6718), Pr at (0.2347, 0.0000, 0.0945) and Sm at (0.0825, 0.5000, 0.3051).



Most stable structure - arrangement one; separation to the second - 0.033 eV/atom.



Arrangement one

Material: LaPr6Sm5
Method: DFT, PBE
State: relaxed

The value obtained for the density of states at the Fermi level is 1.5999 states/eV/atom. As for the size of the total moment: 0.00 μB per formula unit.

The space group is P-1 (No. 2) and the conventional cell measures 5.2147, 8.2548 and 10.4022 Å, with angles of 89.91, 89.93 and 71.60 degrees. Symmetry generates all atoms from La at (0.0000, 0.0000, 0.0000), Pr at (0.1665, 0.6664, 0.2512), Pr at (0.1670, 0.6664, 0.7488), Pr at (0.4999, 0.0000, 0.2524), Sm at (0.0000, 0.0000, 0.5000), Sm at (0.3319, 0.3361, 0.0000) and Sm at (0.3330, 0.3340, 0.5000).



Arrangement two

Material: LaPr6Sm5
Method: DFT, PBE
State: relaxed

The value obtained for the density of states at the Fermi level is 1.9624 states/eV/atom. As for the size of the total moment: 0.00 μB per formula unit.

The space group is C2/m (No. 12) and the conventional cell measures 9.6526, 18.6077 and 6.0745 Å, with angles of 90.00, 128.93 and 90.00 degrees. Symmetry generates all atoms from La at (0.0000, 0.0000, 0.0000), Pr at (0.2501, 0.0000, 0.7501), Pr at (0.2499, 0.1764, 0.2501), Sm at (0.0000, 0.1593, 0.5000), Sm at (0.0000, 0.3419, 0.0000) and Sm at (0.0000, 0.5000, 0.5000).



Most stable structure - arrangement one; separation to the second - 0.085 eV/atom.



Arrangement one

Material: La8Pr2Sm
Method: DFT, PBE
State: relaxed

The value obtained for the density of states at the Fermi level is 1.4635 states/eV/atom. As for the size of the total moment: 0.00 μB per formula unit.

The space group is C2/m (No. 12) and the conventional cell measures 9.3407, 17.0286 and 6.1583 Å, with angles of 90.00, 124.44 and 90.00 degrees. Symmetry generates all atoms from La at (0.0000, 0.2042, 0.0000), La at (0.0787, 0.5000, 0.7984), La at (0.2147, 0.1177, 0.6838), Pr at (0.0000, 0.3089, 0.5000) and Sm at (0.0000, 0.0000, 0.0000).



Arrangement two

Material: La8Pr2Sm
Method: DFT, PBE
State: relaxed

The value obtained for the density of states at the Fermi level is 1.8421 states/eV/atom. As for the size of the total moment: 0.00 μB per formula unit.

The space group is C2/m (No. 12) and the conventional cell measures 18.9367, 5.2642 and 8.3090 Å, with angles of 90.00, 105.25 and 90.00 degrees. Symmetry generates all atoms from La at (0.0459, 0.0000, 0.2274), La at (0.0901, 0.5000, 0.9533), La at (0.1363, 0.0000, 0.6812), La at (0.1813, 0.5000, 0.4115), Pr at (0.2265, 0.0000, 0.1360) and Sm at (0.0000, 0.5000, 0.5000).



Most stable structure - arrangement two; separation to the second - 0.103 eV/atom.